(1)
First-principles (PBE) data for crystalline NiMoPd2N at its relaxed geometry, as listed in Alexandria via LeMat-Bulk.

Calculated values
The calculation puts the raw total energy at -29.9 eV for the cell shown. The uncorrected formation energy comes out at 1.077 eV per atom. For the mass density, the calculation gives 7.03 g cm⁻³. The calculation puts the spin magnetization at 0.122 μB/atom. Its symmetry is No. 123.

```
NiMoPd2N
1.0
4.8926 0.0000 0.0000
0.0000 4.8926 0.0000
0.0000 0.0000 3.7650
Ni Mo Pd N
1 1 2 1
Direct
0.0000 0.0000 0.0000
0.5000 0.5000 0.5000
0.0000 0.5000 0.5000
0.5000 0.0000 0.5000
0.5000 0.5000 0.0000
```

(2)
First-principles (PBE) data for crystalline Tb3Pm4Nd at its relaxed geometry, as listed in Alexandria via LeMat-Bulk.

Calculated values
The calculation puts the raw total energy at -36.3 eV for the cell shown. As for the energy above the lowest structure with this stoichiometry: 139.3 meV/atom. For the energy of formation, the calculation gives 0.167 eV/atom. For the mass density, the calculation gives 7.31 g cm⁻³. The calculation puts the spin magnetization at 0.000 μB/atom. Its symmetry is No. 12.

```
Tb3Pm4Nd
1.0
11.8709 -1.7464 0.0000
11.8709 1.7464 0.0000
-1.9619 0.0000 6.5770
Tb Pm Nd
3 4 1
Direct
0.0000 0.0000 0.0000
0.1244 0.1244 0.3812
0.8756 0.8756 0.6188
0.1246 0.1246 0.8705
0.2595 0.2595 0.2626
0.7405 0.7405 0.7373
0.8754 0.8754 0.1295
0.5000 0.5000 0.5000
```

(3)
First-principles (PBE) data for crystalline VCu2Rh at its relaxed geometry, as listed in Alexandria via LeMat-Bulk.

Calculated values
The calculation puts the raw total energy at -45.8 eV for the cell shown. For the energy of formation, the calculation gives 0.436 eV/atom. For the mass density, the calculation gives 8.13 g cm⁻³. The calculation puts the spin magnetization at 0.501 μB/atom. Its symmetry is No. 122.

```
VCu2Rh
1.0
-3.4263 3.4263 2.4436
3.4263 -3.4263 2.4436
3.4263 3.4263 -2.4436
V Cu Rh
2 4 2
Direct
0.0000 0.0000 0.0000
0.7500 0.2500 0.5000
0.1232 0.1250 0.4982
0.3750 0.8768 0.0018
0.6268 0.6250 0.5018
0.8750 0.3732 0.9982
0.2500 0.7500 0.5000
0.5000 0.5000 0.0000
```

(4)
First-principles (PBE) data for crystalline Er5Tm8In at its relaxed geometry, as listed in Alexandria via LeMat-Bulk.

Calculated values
The calculation puts the raw total energy at -58.7 eV for the cell shown. For the energy of formation, the calculation gives 0.189 eV/atom. For the mass density, the calculation gives 8.77 g cm⁻³. The calculation puts the spin magnetization at 0.000 μB/atom. Its symmetry is No. 82.

```
Er5Tm8In
1.0
-4.7201 4.7201 4.8930
4.7201 -4.7201 4.8930
4.7201 4.7201 -4.8930
Er Tm In
5 8 1
Direct
0.0000 0.0000 0.0000
0.2102 0.5235 0.8947
0.4765 0.3712 0.6867
0.6288 0.3155 0.1053
0.6845 0.7898 0.3133
0.1589 0.0642 0.7305
0.3337 0.4284 0.2695
0.4160 0.0237 0.2552
0.5716 0.8411 0.9053
0.7684 0.1608 0.7448
0.8392 0.5840 0.6076
0.9358 0.6663 0.0947
0.9763 0.2316 0.3924
0.2500 0.7500 0.5000
```